[1]
Material: Nd2NiSn3Ir4
Method: DFT, GGA-PBE
State: relaxed

Unit cell a=4.3146 b=4.3146 c=11.1810 alpha=90.00 beta=90.00 gamma=90.00
Sites, in units of the cell vectors:
Ir 0.5000 0.0000 0.6330
Ir 0.0000 0.5000 0.3670
Ir 0.0000 0.0000 0.0000
Ir 0.5000 0.5000 0.0000
Ni 0.5000 0.5000 0.5000
Nd 0.5000 0.0000 0.2589
Nd 0.0000 0.5000 0.7411
Sn 0.5000 0.0000 0.8658
Sn 0.0000 0.5000 0.1342
Sn 0.0000 0.0000 0.5000

Results
- calculated formation energy (kcal/mol of atoms) = -10.491
- uncorrected energy (eV per atom) = -6.73
- magnetic moment (μB/f.u.) = 0.00
- SG = P-4m2

---

[2]
Material: LiY2As
Method: DFT, GGA-PBE
State: relaxed

Unit cell a=4.1304 b=4.0708 c=5.8989 alpha=69.84 beta=90.00 gamma=90.00
Sites, in units of the cell vectors:
Y 0.5000 0.2679 0.3389
Y 0.0000 0.9769 0.9211
As 0.0000 0.6953 0.4844
Li 0.5000 0.5599 0.7556

Results
- calculated formation energy (kcal/mol of atoms) = -16.792
- uncorrected energy (eV per atom) = -5.60
- magnetic moment (μB/f.u.) = 0.94
- SG = Amm2